VASP calculation (SCAN) on Sr3Si at its PBEsol-relaxed geometry.

Lattice parameters (Å, degrees): 6.4341 6.4341 6.4341 90.00 90.00 90.00
Closest atoms and distances in Å follow each position.
Atoms (fractional coordinates):
Sr 0.5000 0.0000 0.7500  2 Sr 3.22, 4 Si 3.60
Sr 0.2500 0.5000 0.0000  2 Sr 3.22, 4 Si 3.60
Sr 0.0000 0.2500 0.5000  2 Sr 3.22, 4 Si 3.60
Si 0.5000 0.5000 0.5000  12 Sr 3.60
Sr 0.7500 0.5000 0.0000  2 Sr 3.22, 4 Si 3.60
Sr 0.0000 0.7500 0.5000  2 Sr 3.22, 4 Si 3.60
Si 0.0000 0.0000 0.0000  12 Sr 3.60
Sr 0.5000 0.0000 0.2500  2 Sr 3.22, 4 Si 3.60

Calculated values
E_form (uncorrected), meV/atom: 53
DOS at the Fermi energy, states/eV/cell: 2.77

***

VASP calculation (SCAN) on Pd4S at its PBEsol-relaxed geometry.

Lattice parameters (Å, degrees): 5.0932 5.0932 5.5386 90.00 90.00 90.00
Closest atoms and distances in Å follow each position.
Atoms (fractional coordinates):
Pd 0.7329 0.8552 0.6576  2 S 2.33-2.45
S 0.0000 0.0000 0.0000  8 Pd 2.33-2.45
Pd 0.6448 0.7671 0.1576  2 S 2.33-2.45
Pd 0.2329 0.6448 0.8424  2 S 2.33-2.45
Pd 0.1448 0.7329 0.3424  2 S 2.33-2.45
Pd 0.3552 0.2329 0.1576  2 S 2.33-2.45
Pd 0.7671 0.3552 0.8424  2 S 2.33-2.45
S 0.5000 0.5000 0.5000  8 Pd 2.33-2.45
Pd 0.8552 0.2671 0.3424  2 S 2.33-2.45
Pd 0.2671 0.1448 0.6576  2 S 2.33-2.45

Calculated values
E_form (uncorrected), meV/atom: -206
DOS at the Fermi energy, states/eV/cell: 4.85

***

VASP calculation (SCAN) on Be2Ru at its PBEsol-relaxed geometry.

Lattice parameters (Å, degrees): 3.1074 3.1740 6.1504 75.05 90.00 90.00
Closest atoms and distances in Å follow each position.
Atoms (fractional coordinates):
Ru 0.7500 0.9025 0.1951  8 Be 2.24-2.42
Be 0.2500 0.7467 0.5066  4 Be 2.22, 4 Ru 2.38-2.42
Be 0.7500 0.5706 0.8587  4 Ru 2.24, 2 Be 2.29
Ru 0.2500 0.0975 0.8049  8 Be 2.24-2.42
Be 0.7500 0.2533 0.4934  4 Be 2.22, 4 Ru 2.38-2.42
Be 0.2500 0.4294 0.1413  4 Ru 2.24, 2 Be 2.29

Calculated values
DFT formation energy, kJ/mol of atoms: -37.88
DOS at the Fermi energy, states/eV/cell: 0.90

***

VASP calculation (SCAN) on Zr3As at its PBEsol-relaxed geometry.

Lattice parameters (Å, degrees): 3.5107 5.4202 5.4202 58.03 71.10 71.10
Closest atoms and distances in Å follow each position.
Atoms (fractional coordinates):
Zr 0.7153 0.9427 0.6267  3 As 2.79-2.96, 3 Zr 2.84-3.10
Zr 0.5000 0.5599 0.4401  2 As 2.73, 2 Zr 2.84
Zr 0.2847 0.3733 0.0573  3 As 2.79-2.96, 3 Zr 2.84-3.10
As 0.0000 0.9575 0.0425  8 Zr 2.73-2.96

Calculated values
DFT formation energy, kJ/mol of atoms: -50.81
DOS at the Fermi energy, states/eV/cell: 4.04